Entry from Alexandria via LeMat-Bulk: a PBEsol-optimized structure of Mg2AlPb (meta-GGA SCAN).

a = 6.3749 Å, b = 8.6418 Å, c = 3.2289 Å
α = 90.00°, β = 90.00°, γ = 90.00°
Last column: nearest neighbours and their distance in Å.
Space group Cmmm (No. 65)
Inequivalent atoms, fractional coordinates:
1 Mg 0.2500 0.2500 0.0000 [4 per cell]  4 Pb 3.13, 4 Al 3.13, 4 Mg 3.19-3.23
2 Al 0.0000 0.0000 0.5000 [2 per cell]  8 Mg 3.13, 2 Pb 3.19, 2 Al 3.23
3 Pb 0.0000 0.5000 0.5000 [2 per cell]  8 Mg 3.13, 2 Al 3.19, 2 Pb 3.23

Summary:
theoretical density	5.280	g cm⁻³
energy of formation from the pure elements	-0.02	eV/atom
electronic total energy	-23.39	eV/atom


Entry from Alexandria via LeMat-Bulk: a PBEsol-optimized structure of Mg2AlPb (meta-GGA SCAN).

a = 7.1744 Å, b = 7.1744 Å, c = 7.1744 Å
α = 90.00°, β = 90.00°, γ = 90.00°
Last column: nearest neighbours and their distance in Å.
Space group F-43m (No. 216)
Inequivalent atoms, fractional coordinates:
1 Mg 0.0000 0.0000 0.0000 [4 per cell]  4 Mg 3.11, 4 Pb 3.11
2 Mg 0.2500 0.2500 0.2500 [4 per cell]  4 Mg 3.11, 4 Al 3.11
3 Al 0.0000 0.0000 0.5000 [4 per cell]  4 Pb 3.11, 4 Mg 3.11
4 Pb 0.2500 0.2500 0.7500 [4 per cell]  4 Mg 3.11, 4 Al 3.11

Summary:
theoretical density	5.087	g cm⁻³
energy of formation from the pure elements	0.08	eV/atom
electronic total energy	-23.29	eV/atom


Entry from Alexandria via LeMat-Bulk: a PBEsol-optimized structure of MgAl3Pb (meta-GGA SCAN).

a = 5.0629 Å, b = 5.0629 Å, c = 5.0629 Å
α = 90.00°, β = 90.00°, γ = 90.00°
Last column: nearest neighbours and their distance in Å.
Space group Pm-3m (No. 221)
Inequivalent atoms, fractional coordinates:
1 Mg 0.0000 0.0000 0.0000 [1 per cell]  6 Al 2.53
2 Al 0.0000 0.0000 0.5000 [3 per cell]  2 Mg 2.53
3 Pb 0.5000 0.5000 0.5000 [1 per cell]  12 Al 3.58

Summary:
theoretical density	3.998	g cm⁻³
energy of formation from the pure elements	0.83	eV/atom
electronic total energy	-19.98	eV/atom


Entry from Alexandria via LeMat-Bulk: a PBEsol-optimized structure of MgAlPd2 (meta-GGA SCAN).

a = 6.1716 Å, b = 6.1716 Å, c = 6.1716 Å
α = 90.00°, β = 90.00°, γ = 90.00°
Last column: nearest neighbours and their distance in Å.
Space group Fm-3m (No. 225)
Inequivalent atoms, fractional coordinates:
1 Mg 0.0000 0.0000 0.0000 [4 per cell]  8 Pd 2.67
2 Al 0.0000 0.0000 0.5000 [4 per cell]  8 Pd 2.67
3 Pd 0.2500 0.2500 0.2500 [8 per cell]  4 Al 2.67, 4 Mg 2.67

Summary:
theoretical density	7.463	g cm⁻³
energy of formation from the pure elements	-0.93	eV/atom
electronic total energy	-20.50	eV/atom


Entry from Alexandria via LeMat-Bulk: a PBEsol-optimized structure of MgAlPd2 (meta-GGA SCAN).

a = 6.8215 Å, b = 6.8215 Å, c = 5.6614 Å
α = 90.00°, β = 90.00°, γ = 90.00°
Last column: nearest neighbours and their distance in Å.
Space group I-42d (No. 122)
Inequivalent atoms, fractional coordinates:
1 Mg 0.0000 0.0000 0.0000 [4 per cell]  4 Pd 2.64, 2 Al 2.83
2 Al 0.0000 0.0000 0.5000 [4 per cell]  4 Pd 2.40
3 Pd 0.2239 0.7500 0.6250 [8 per cell]  2 Al 2.40, 2 Mg 2.64

Summary:
theoretical density	6.660	g cm⁻³
energy of formation from the pure elements	-0.53	eV/atom
electronic total energy	-20.10	eV/atom


Entry from Alexandria via LeMat-Bulk: a PBEsol-optimized structure of Mg16Al12Pd (meta-GGA SCAN).

a = 10.4059 Å, b = 14.5641 Å, c = 8.9963 Å
α = 90.00°, β = 124.70°, γ = 90.00°
Last column: nearest neighbours and their distance in Å.
Space group Cm (No. 8)
Inequivalent atoms, fractional coordinates:
1 Mg 0.0000 0.0000 0.0000 [2 per cell]  12 Al 3.10-3.24, 4 Mg 3.14-3.30
2 Mg 0.0091 0.3091 0.3052 [4 per cell]  4 Al 2.82-3.15, 5 Mg 3.00-3.14, 1 Pd 3.14
3 Mg 0.0383 0.3728 0.0081 [4 per cell]  5 Al 2.83-3.11, 4 Mg 3.00-3.11, 1 Pd 3.14
4 Mg 0.1925 0.2016 0.6732 [4 per cell]  5 Al 2.87-3.06, 6 Mg 3.02-3.14
5 Mg 0.3031 0.0000 0.6993 [2 per cell]  5 Al 2.92-3.11, 7 Mg 3.03-3.11
6 Mg 0.3181 0.3250 0.9978 [4 per cell]  4 Mg 3.02-3.17, 6 Al 3.04-3.13
7 Mg 0.3373 0.3412 0.3947 [4 per cell]  1 Pd 2.79, 4 Al 2.84-3.11, 4 Mg 2.97-3.11
8 Mg 0.3757 0.0000 0.3294 [2 per cell]  1 Pd 2.95, 6 Al 2.97-3.30, 5 Mg 3.06-3.30
9 Mg 0.4359 0.1541 0.5929 [4 per cell]  5 Al 2.84-3.18, 6 Mg 3.06-3.14
10 Mg 0.4868 0.5000 0.6428 [2 per cell]  1 Pd 2.84, 4 Mg 2.97-3.14, 6 Al 3.02-3.12
11 Al 0.0881 0.0939 0.3570 [4 per cell]  3 Al 2.65-2.74, 2 Mg 2.87-2.92
12 Al 0.1327 0.5000 0.8203 [2 per cell]  3 Al 2.71-2.73, 5 Mg 2.94-3.02
13 Al 0.1761 0.1860 0.1747 [4 per cell]  3 Al 2.65-2.72, 2 Mg 2.84-2.96
14 Al 0.2194 0.4075 0.6260 [4 per cell]  1 Pd 2.62, 3 Al 2.69-2.73, 2 Mg 2.82-2.93
15 Al 0.2578 0.0918 0.9788 [4 per cell]  3 Al 2.67-2.72, 4 Mg 2.83-2.97
16 Al 0.3104 0.5000 0.1860 [2 per cell]  1 Pd 2.60, 3 Al 2.71-2.74, 2 Mg 2.89
17 Al 0.4880 0.3114 0.8075 [4 per cell]  3 Al 2.69-2.72, 2 Mg 2.84-2.99
18 Pd 0.1678 0.5000 0.3470 [2 per cell]  3 Al 2.60-2.62, 3 Mg 2.79-2.84

Summary:
theoretical density	2.427	g cm⁻³
energy of formation from the pure elements	-0.09	eV/atom
electronic total energy	-7.17	eV/atom


Entry from Alexandria via LeMat-Bulk: a PBEsol-optimized structure of Pm2MgAl (meta-GGA SCAN).

a = 7.4352 Å, b = 7.4352 Å, c = 7.4352 Å
α = 90.00°, β = 90.00°, γ = 90.00°
Last column: nearest neighbours and their distance in Å.
Space group Fm-3m (No. 225)
Inequivalent atoms, fractional coordinates:
1 Pm 0.2500 0.2500 0.2500 [8 per cell]  4 Mg 3.22, 4 Al 3.22
2 Mg 0.0000 0.0000 0.0000 [4 per cell]  8 Pm 3.22
3 Al 0.0000 0.0000 0.5000 [4 per cell]  8 Pm 3.22

Summary:
theoretical density	5.515	g cm⁻³
energy of formation from the pure elements	-0.29	eV/atom
electronic total energy	-25.46	eV/atom


Entry from Alexandria via LeMat-Bulk: a PBEsol-optimized structure of Pr3MgAl2 (meta-GGA SCAN).

a = 3.6751 Å, b = 3.6751 Å, c = 11.7930 Å
α = 90.00°, β = 90.00°, γ = 90.00°
Last column: nearest neighbours and their distance in Å.
Space group P4/mmm (No. 123)
Inequivalent atoms, fractional coordinates:
1 Pr 0.0000 0.0000 0.0000 [1 per cell]  8 Al 3.24
2 Pr 0.0000 0.0000 0.3200 [2 per cell]  4 Al 3.18, 4 Mg 3.36
3 Mg 0.5000 0.5000 0.5000 [1 per cell]  8 Pr 3.36, 4 Mg 3.68
4 Al 0.5000 0.5000 0.1644 [2 per cell]  8 Pr 3.18-3.24

Summary:
theoretical density	5.223	g cm⁻³
energy of formation from the pure elements	-0.28	eV/atom
electronic total energy	-25.36	eV/atom


Look up the electronic total energy of the seventh one.
-25.46 eV/atom


theoretical density of number 6 (Mg16Al12Pd)?
2.427 g cm⁻³


Among the records above, which one has the highest energy of formation from the pure elements?
MgAl3Pb


The lowest theoretical density belongs to which entry?
Mg16Al12Pd